The following is a GGA+U calculation of a geometry-optimized KWNF2 structure, from Alexandria via LeMat-Bulk.

```
5
Lattice="4.617 0.000 0.000 0.000 4.617 0.000 0.000 0.000 4.893" Properties=species:S:1:pos:R:3 pbc="T T T"
K 0.000 0.000 0.000
N 0.000 0.000 2.446
W 2.309 2.309 2.446
F 0.000 2.309 0.000
F 2.309 0.000 0.000
```

Output
As for the symmetry: P4/mmm, No. 123. Its crystal system is tetragonal. Its energy above the most stable polymorph in this dataset is 2033 meV/atom. Its total energy is -3.54 eV per atom. The value obtained for the theoretical density is 4377 kg/m3.